--- a ---
{
  "formula": "ZrRhF3",
  "functional": "PBE",
  "state": "optimized geometry",
  "n_ef_per_ev_cell": 7.64,
  "m_tot_mub_per_cell": 0.0,
  "spacegroup": "Pm-3m (221)",
  "cell": [[4.2482, 0.0000, 0.0000], [0.0000, 4.2482, 0.0000], [0.0000, 0.0000, 4.2482]],
  "species": ["Rh", "Zr", "F", "F", "F"],
  "frac_coords": [[0.0000, 0.0000, 0.0000], [0.5000, 0.5000, 0.5000], [0.0000, 0.5000, 0.0000], [0.0000, 0.0000, 0.5000], [0.5000, 0.0000, 0.0000]]
}

---

--- b ---
{
  "formula": "ZrRhF3",
  "functional": "PBE",
  "state": "optimized geometry",
  "n_ef_per_ev_cell": 4.45,
  "m_tot_mub_per_cell": 0.3,
  "spacegroup": "Pm-3m (221)",
  "cell": [[4.2435, 0.0000, 0.0000], [0.0000, 4.2435, 0.0000], [0.0000, 0.0000, 4.2435]],
  "species": ["Rh", "Zr", "F", "F", "F"],
  "frac_coords": [[0.5000, 0.5000, 0.5000], [0.0000, 0.0000, 0.0000], [0.0000, 0.5000, 0.0000], [0.0000, 0.0000, 0.5000], [0.5000, 0.0000, 0.0000]]
}

---

Verdict on stability: b comes out on top.

---

--- a ---
{
  "formula": "RuS2F",
  "functional": "PBE",
  "state": "optimized geometry",
  "n_ef_per_ev_cell": 4.44,
  "m_tot_mub_per_cell": 0.0,
  "spacegroup": "Fm-3m (225)",
  "cell": [[-2.8734, 1.2336, 2.6932], [-2.6304, 3.0108, -1.0236], [-3.9755, -0.8755, -0.6785]],
  "species": ["Ru", "S", "S", "F"],
  "frac_coords": [[0.5000, 0.5000, 0.5000], [0.2500, 0.2500, 0.2500], [0.7500, 0.7500, 0.7500], [0.0000, 0.0000, 0.0000]]
}

---

--- b ---
{
  "formula": "RuS2F",
  "functional": "PBE",
  "state": "optimized geometry",
  "n_ef_per_ev_cell": 4.01,
  "m_tot_mub_per_cell": 0.0,
  "spacegroup": "I-42d (122)",
  "cell": [[5.7284, 0.0000, 0.0000], [0.0000, 5.7284, 0.0000], [2.8642, 2.8642, 4.7751]],
  "species": ["Ru", "Ru", "S", "S", "S", "S", "F", "F"],
  "frac_coords": [[0.0000, 0.0000, 0.0000], [0.7500, 0.2500, 0.5000], [0.6741, 0.1250, 0.2500], [0.0759, 0.6250, 0.2500], [0.3750, 0.3259, 0.7500], [0.8750, 0.9241, 0.7500], [0.5000, 0.5000, 0.0000], [0.2500, 0.7500, 0.5000]]
}

---

--- c ---
{
  "formula": "RuS2F",
  "functional": "PBE",
  "state": "optimized geometry",
  "n_ef_per_ev_cell": 2.15,
  "m_tot_mub_per_cell": 0.0,
  "spacegroup": "R-3m (166)",
  "cell": [[2.5581, 0.3888, 6.0333], [1.2113, -2.9436, 5.7414], [4.4362, -2.1717, 4.3243]],
  "species": ["Ru", "S", "S", "F"],
  "frac_coords": [[0.5000, 0.5000, 0.5000], [0.8912, 0.8912, 0.8912], [0.1088, 0.1088, 0.1088], [0.0000, 0.0000, 0.0000]]
}

---

Verdict on stability: c comes out on top.

---

--- a ---
{
  "formula": "RuSF2",
  "functional": "PBE",
  "state": "optimized geometry",
  "n_ef_per_ev_cell": 3.64,
  "m_tot_mub_per_cell": 3.1,
  "spacegroup": "Fm-3m (225)",
  "cell": [[-3.4659, 1.2844, 1.8866], [-1.6573, 3.6755, -0.9827], [-3.5699, 0.1692, -2.1092]],
  "species": ["Ru", "S", "F", "F"],
  "frac_coords": [[0.5000, 0.5000, 0.5000], [0.0000, 0.0000, 0.0000], [0.2500, 0.2500, 0.2500], [0.7500, 0.7500, 0.7500]]
}

---

--- b ---
{
  "formula": "RuSF2",
  "functional": "PBE",
  "state": "optimized geometry",
  "n_ef_per_ev_cell": 1.90,
  "m_tot_mub_per_cell": 2.1,
  "spacegroup": "R-3m (166)",
  "cell": [[1.5730, 0.0000, 8.4079], [-0.7865, 1.3622, 8.4079], [-0.7865, -1.3622, 8.4079]],
  "species": ["Ru", "S", "F", "F"],
  "frac_coords": [[0.5000, 0.5000, 0.5000], [0.0000, 0.0000, 0.0000], [0.9296, 0.9296, 0.9296], [0.0704, 0.0704, 0.0704]]
}

---

Verdict on stability: b comes out on top.

---

--- a ---
{
  "formula": "SbRu2F",
  "functional": "PBE",
  "state": "optimized geometry",
  "n_ef_per_ev_cell": 5.67,
  "m_tot_mub_per_cell": 0.4,
  "spacegroup": "I-42d (122)",
  "cell": [[4.1168, 0.0000, 0.0000], [0.0000, 4.1168, 0.0000], [2.0584, 2.0584, 8.0019]],
  "species": ["Sb", "Sb", "F", "F", "Ru", "Ru", "Ru", "Ru"],
  "frac_coords": [[0.0000, 0.0000, 0.0000], [0.7500, 0.2500, 0.5000], [0.5000, 0.5000, 0.0000], [0.2500, 0.7500, 0.5000], [0.5410, 0.1250, 0.2500], [0.2090, 0.6250, 0.2500], [0.3750, 0.4590, 0.7500], [0.8750, 0.7910, 0.7500]]
}

---

--- b ---
{
  "formula": "SbRu2F",
  "functional": "PBE",
  "state": "optimized geometry",
  "n_ef_per_ev_cell": 5.04,
  "m_tot_mub_per_cell": 0.9,
  "spacegroup": "Fm-3m (225)",
  "cell": [[0.0000, 3.1003, 3.1003], [3.1003, 0.0000, 3.1003], [3.1003, 3.1003, 0.0000]],
  "species": ["Sb", "F", "Ru", "Ru"],
  "frac_coords": [[0.5000, 0.5000, 0.5000], [0.0000, 0.0000, 0.0000], [0.2500, 0.2500, 0.2500], [0.7500, 0.7500, 0.7500]]
}

---

Verdict on stability: b comes out on top.

---

--- a ---
{
  "formula": "SbRu3F",
  "functional": "PBE",
  "state": "optimized geometry",
  "n_ef_per_ev_cell": 7.25,
  "m_tot_mub_per_cell": 0.0,
  "spacegroup": "Pm-3m (221)",
  "cell": [[4.2611, 0.0000, 0.0000], [0.0000, 4.2611, 0.0000], [0.0000, 0.0000, 4.2611]],
  "species": ["Sb", "F", "Ru", "Ru", "Ru"],
  "frac_coords": [[0.5000, 0.5000, 0.5000], [0.0000, 0.0000, 0.0000], [0.0000, 0.5000, 0.0000], [0.0000, 0.0000, 0.5000], [0.5000, 0.0000, 0.0000]]
}

---

--- b ---
{
  "formula": "SbRu3F",
  "functional": "PBE",
  "state": "optimized geometry",
  "n_ef_per_ev_cell": 5.19,
  "m_tot_mub_per_cell": 5.4,
  "spacegroup": "Pm-3m (221)",
  "cell": [[-0.2186, -1.8655, -4.5619], [4.8754, -0.7510, 0.0734], [-0.7222, -4.5050, 1.8768]],
  "species": ["Sb", "F", "Ru", "Ru", "Ru"],
  "frac_coords": [[0.0000, 0.0000, 0.0000], [0.5000, 0.5000, 0.5000], [0.0000, 0.5000, 0.0000], [0.0000, 0.0000, 0.5000], [0.5000, 0.0000, 0.0000]]
}

---

Verdict on stability: a comes out on top.

---

--- a ---
{
  "formula": "Sb3RuF",
  "functional": "PBE",
  "state": "optimized geometry",
  "n_ef_per_ev_cell": 4.89,
  "m_tot_mub_per_cell": 2.0,
  "spacegroup": "Pm-3m (221)",
  "cell": [[5.1265, 0.0000, 0.0000], [0.0000, 5.1265, 0.0000], [0.0000, 0.0000, 5.1265]],
  "species": ["Sb", "Sb", "Sb", "F", "Ru"],
  "frac_coords": [[0.0000, 0.5000, 0.0000], [0.0000, 0.0000, 0.5000], [0.5000, 0.0000, 0.0000], [0.5000, 0.5000, 0.5000], [0.0000, 0.0000, 0.0000]]
}

---

--- b ---
{
  "formula": "Sb3RuF",
  "functional": "PBE",
  "state": "optimized geometry",
  "n_ef_per_ev_cell": 3.97,
  "m_tot_mub_per_cell": 0.4,
  "spacegroup": "Pm-3m (221)",
  "cell": [[4.7550, 0.0000, 0.0000], [0.0000, 4.7550, 0.0000], [0.0000, 0.0000, 4.7550]],
  "species": ["Sb", "Sb", "Sb", "F", "Ru"],
  "frac_coords": [[0.0000, 0.5000, 0.0000], [0.0000, 0.0000, 0.5000], [0.5000, 0.0000, 0.0000], [0.0000, 0.0000, 0.0000], [0.5000, 0.5000, 0.5000]]
}

---

Verdict on stability: a comes out on top.

---

--- a ---
{
  "formula": "SbTe2RuF",
  "functional": "PBE",
  "state": "optimized geometry",
  "n_ef_per_ev_cell": 7.68,
  "m_tot_mub_per_cell": 1.1,
  "spacegroup": "P4/mmm (123)",
  "cell": [[-3.8918, -1.6903, -2.9865], [1.2203, -4.9021, 1.1842], [-3.1633, 0.1833, 4.0185]],
  "species": ["Sb", "F", "Te", "Te", "Ru"],
  "frac_coords": [[0.0000, 0.0000, 0.5000], [0.5000, 0.5000, 0.5000], [0.0000, 0.5000, 0.0000], [0.5000, 0.0000, 0.0000], [0.0000, 0.0000, 0.0000]]
}

---

--- b ---
{
  "formula": "SbTe2RuF",
  "functional": "PBE",
  "state": "optimized geometry",
  "n_ef_per_ev_cell": 2.63,
  "m_tot_mub_per_cell": 0.0,
  "spacegroup": "P4/mmm (123)",
  "cell": [[4.9723, 0.0000, 0.0000], [0.0000, 4.9723, 0.0000], [0.0000, 0.0000, 4.5343]],
  "species": ["Sb", "F", "Te", "Te", "Ru"],
  "frac_coords": [[0.0000, 0.0000, 0.5000], [0.0000, 0.0000, 0.0000], [0.0000, 0.5000, 0.0000], [0.5000, 0.0000, 0.0000], [0.5000, 0.5000, 0.5000]]
}

---

Verdict on stability: a comes out on top.

---

--- a ---
{
  "formula": "Sc2RuF",
  "functional": "PBE",
  "state": "optimized geometry",
  "n_ef_per_ev_cell": 2.97,
  "m_tot_mub_per_cell": 0.0,
  "spacegroup": "Fm-3m (225)",
  "cell": [[0.0000, 3.1922, 3.1922], [3.1922, 0.0000, 3.1922], [3.1922, 3.1922, 0.0000]],
  "species": ["Sc", "Sc", "Ru", "F"],
  "frac_coords": [[0.2500, 0.2500, 0.2500], [0.7500, 0.7500, 0.7500], [0.5000, 0.5000, 0.5000], [0.0000, 0.0000, 0.0000]]
}

---

--- b ---
{
  "formula": "Sc2RuF",
  "functional": "PBE",
  "state": "optimized geometry",
  "n_ef_per_ev_cell": 1.54,
  "m_tot_mub_per_cell": 0.0,
  "spacegroup": "R-3m (166)",
  "cell": [[-7.7223, -1.2018, -1.5590], [-7.6236, -1.4824, 1.7867], [-7.8081, 1.5531, 0.3606]],
  "species": ["Sc", "Sc", "Ru", "F"],
  "frac_coords": [[0.9112, 0.9112, 0.9112], [0.0888, 0.0888, 0.0888], [0.5000, 0.5000, 0.5000], [0.0000, 0.0000, 0.0000]]
}

---

Verdict on stability: b comes out on top.

---

--- a ---
{
  "formula": "ScRuF2",
  "functional": "PBE",
  "state": "optimized geometry",
  "n_ef_per_ev_cell": 1.78,
  "m_tot_mub_per_cell": 1.4,
  "spacegroup": "R-3m (166)",
  "cell": [[2.4570, 0.0000, 3.6068], [-1.2285, 2.1279, 3.6068], [-1.2285, -2.1279, 3.6068]],
  "species": ["Sc", "Ru", "F", "F"],
  "frac_coords": [[0.0000, 0.0000, 0.0000], [0.5000, 0.5000, 0.5000], [0.8074, 0.8074, 0.8074], [0.1926, 0.1926, 0.1926]]
}

---

--- b ---
{
  "formula": "ScRuF2",
  "functional": "PBE",
  "state": "optimized geometry",
  "n_ef_per_ev_cell": 3.14,
  "m_tot_mub_per_cell": 0.9,
  "spacegroup": "R-3m (166)",
  "cell": [[1.6347, 0.0000, 7.4274], [-0.8173, 1.4157, 7.4274], [-0.8173, -1.4157, 7.4274]],
  "species": ["Sc", "Ru", "F", "F"],
  "frac_coords": [[0.5000, 0.5000, 0.5000], [0.0000, 0.0000, 0.0000], [0.9016, 0.9016, 0.9016], [0.0984, 0.0984, 0.0984]]
}

---

--- c ---
{
  "formula": "ScRuF2",
  "functional": "PBE",
  "state": "optimized geometry",
  "n_ef_per_ev_cell": 6.38,
  "m_tot_mub_per_cell": 2.0,
  "spacegroup": "I-42d (122)",
  "cell": [[3.8369, 0.0000, 0.0000], [0.0000, 3.8369, 0.0000], [1.9184, 1.9184, 7.3980]],
  "species": ["Sc", "Sc", "Ru", "Ru", "F", "F", "F", "F"],
  "frac_coords": [[0.5000, 0.5000, 0.0000], [0.2500, 0.7500, 0.5000], [0.0000, 0.0000, 0.0000], [0.7500, 0.2500, 0.5000], [0.6092, 0.1250, 0.2500], [0.1408, 0.6250, 0.2500], [0.3750, 0.3908, 0.7500], [0.8750, 0.8592, 0.7500]]
}

---

Verdict on stability: b comes out on top.

---

--- a ---
{
  "formula": "ScRu3F",
  "functional": "PBE",
  "state": "optimized geometry",
  "n_ef_per_ev_cell": 7.12,
  "m_tot_mub_per_cell": 5.7,
  "spacegroup": "Pm-3m (221)",
  "cell": [[-2.8288, 0.3921, 3.7962], [-2.8701, -3.3330, -1.7944], [2.5154, -3.3621, 2.2217]],
  "species": ["Sc", "Ru", "Ru", "Ru", "F"],
  "frac_coords": [[0.0000, 0.0000, 0.0000], [0.0000, 0.5000, 0.0000], [0.0000, 0.0000, 0.5000], [0.5000, 0.0000, 0.0000], [0.5000, 0.5000, 0.5000]]
}

---

--- b ---
{
  "formula": "ScRu3F",
  "functional": "PBE",
  "state": "optimized geometry",
  "n_ef_per_ev_cell": 5.97,
  "m_tot_mub_per_cell": 0.0,
  "spacegroup": "Pm-3m (221)",
  "cell": [[-3.4797, 2.1432, -1.0821], [-0.2716, -2.2447, -3.5722], [-2.3855, -2.8707, 1.9853]],
  "species": ["Sc", "Ru", "Ru", "Ru", "F"],
  "frac_coords": [[0.5000, 0.5000, 0.5000], [0.0000, 0.5000, 0.0000], [0.0000, 0.0000, 0.5000], [0.5000, 0.0000, 0.0000], [0.0000, 0.0000, 0.0000]]
}

---

Verdict on stability: b comes out on top.

---

--- a ---
{
  "formula": "Sc3RuF",
  "functional": "PBE",
  "state": "optimized geometry",
  "n_ef_per_ev_cell": 7.74,
  "m_tot_mub_per_cell": 0.0,
  "spacegroup": "Pm-3m (221)",
  "cell": [[-0.6315, 0.2385, -4.3323], [-3.1353, -3.0513, 0.2890], [-2.9992, 3.1396, 0.6101]],
  "species": ["Sc", "Sc", "Sc", "Ru", "F"],
  "frac_coords": [[0.0000, 0.5000, 0.0000], [0.0000, 0.0000, 0.5000], [0.5000, 0.0000, 0.0000], [0.5000, 0.5000, 0.5000], [0.0000, 0.0000, 0.0000]]
}

---

--- b ---
{
  "formula": "Sc3RuF",
  "functional": "PBE",
  "state": "optimized geometry",
  "n_ef_per_ev_cell": 9.63,
  "m_tot_mub_per_cell": 0.0,
  "spacegroup": "Pm-3m (221)",
  "cell": [[5.0203, 0.0000, 0.0000], [0.0000, 5.0203, 0.0000], [0.0000, 0.0000, 5.0203]],
  "species": ["Sc", "Sc", "Sc", "Ru", "F"],
  "frac_coords": [[0.0000, 0.5000, 0.0000], [0.0000, 0.0000, 0.5000], [0.5000, 0.0000, 0.0000], [0.0000, 0.0000, 0.0000], [0.5000, 0.5000, 0.5000]]
}

---

Verdict on stability: a comes out on top.

---

--- a ---
{
  "formula": "RuSe2F",
  "functional": "PBE",
  "state": "optimized geometry",
  "n_ef_per_ev_cell": 2.43,
  "m_tot_mub_per_cell": 0.0,
  "spacegroup": "Fm-3m (225)",
  "cell": [[0.0000, 3.0553, 3.0553], [3.0553, 0.0000, 3.0553], [3.0553, 3.0553, 0.0000]],
  "species": ["Ru", "Se", "Se", "F"],
  "frac_coords": [[0.5000, 0.5000, 0.5000], [0.2500, 0.2500, 0.2500], [0.7500, 0.7500, 0.7500], [0.0000, 0.0000, 0.0000]]
}

---

--- b ---
{
  "formula": "RuSe2F",
  "functional": "PBE",
  "state": "optimized geometry",
  "n_ef_per_ev_cell": 1.99,
  "m_tot_mub_per_cell": 0.0,
  "spacegroup": "R-3m (166)",
  "cell": [[-1.4005, -0.4009, 6.7612], [-0.4765, -3.9684, 5.6445], [2.2981, -1.3992, 6.3715]],
  "species": ["Ru", "Se", "Se", "F"],
  "frac_coords": [[0.5000, 0.5000, 0.5000], [0.8907, 0.8907, 0.8907], [0.1093, 0.1093, 0.1093], [0.0000, 0.0000, 0.0000]]
}

---

--- c ---
{
  "formula": "RuSe2F",
  "functional": "PBE",
  "state": "optimized geometry",
  "n_ef_per_ev_cell": 3.76,
  "m_tot_mub_per_cell": 0.0,
  "spacegroup": "I-42d (122)",
  "cell": [[5.9334, 0.0000, 0.0000], [0.0000, 5.9334, 0.0000], [2.9667, 2.9667, 5.0508]],
  "species": ["Ru", "Ru", "Se", "Se", "Se", "Se", "F", "F"],
  "frac_coords": [[0.0000, 0.0000, 0.0000], [0.7500, 0.2500, 0.5000], [0.6608, 0.1250, 0.2500], [0.0892, 0.6250, 0.2500], [0.3750, 0.3392, 0.7500], [0.8750, 0.9108, 0.7500], [0.5000, 0.5000, 0.0000], [0.2500, 0.7500, 0.5000]]
}

---

Verdict on stability: b comes out on top.

---

--- a ---
{
  "formula": "RuSeF3",
  "functional": "PBE",
  "state": "optimized geometry",
  "n_ef_per_ev_cell": 11.92,
  "m_tot_mub_per_cell": 0.0,
  "spacegroup": "Pm-3m (221)",
  "cell": [[4.1570, 0.0000, 0.0000], [0.0000, 4.1570, 0.0000], [0.0000, 0.0000, 4.1570]],
  "species": ["Ru", "Se", "F", "F", "F"],
  "frac_coords": [[0.0000, 0.0000, 0.0000], [0.5000, 0.5000, 0.5000], [0.0000, 0.5000, 0.0000], [0.0000, 0.0000, 0.5000], [0.5000, 0.0000, 0.0000]]
}

---

--- b ---
{
  "formula": "RuSeF3",
  "functional": "PBE",
  "state": "optimized geometry",
  "n_ef_per_ev_cell": 3.22,
  "m_tot_mub_per_cell": 3.2,
  "spacegroup": "Pm-3m (221)",
  "cell": [[4.4245, 0.0000, 0.0000], [0.0000, 4.4245, 0.0000], [0.0000, 0.0000, 4.4245]],
  "species": ["Ru", "Se", "F", "F", "F"],
  "frac_coords": [[0.5000, 0.5000, 0.5000], [0.0000, 0.0000, 0.0000], [0.0000, 0.5000, 0.0000], [0.0000, 0.0000, 0.5000], [0.5000, 0.0000, 0.0000]]
}

---

Verdict on stability: a comes out on top.